Record 1
A relaxed AcU crystal, computed with PBE-GGA.

energy relative to the lowest polymorph listed for this composition	0.000	eV per atom
formation energy from the elements	0.84	eV per atom

Cell: 3.5131 3.5131 6.1072 Å, 90.00 90.00 120.00°
Atoms (fractional coordinates):
Ac  0.6667  0.3333  0.7500
U  0.3333  0.6667  0.2500

***

Record 2
A relaxed Gd2DyAl3PtAu2 crystal, computed with PBE-GGA.

calculated total energy	-5.106	eV/atom

Cell: 3.9867 7.3862 7.3862 Å, 119.99 90.00 90.00°
Atoms (fractional coordinates):
Al  0.5000  0.2360  0.0007
Al  0.5000  0.0007  0.2360
Al  0.5000  0.7642  0.7642
Au  0.5000  0.6643  0.3343
Au  0.5000  0.3343  0.6643
Dy  0.0000  0.4102  0.4102
Gd  0.0000  0.9999  0.5885
Gd  0.0000  0.5885  0.9999
Pt  0.0000  0.0020  0.0020